# PBE-GGA K2ZrHg, optimized geometry
# Size of the total moment in μB per atom: 0.25
# Calculated density in kg/m³: 4665
# Energy of formation in eV per atom: 0.487
# V in Å³/atom: 32.93
data_K2ZrHg
_space_group_name_H-M_alt 'R -3 m'
_space_group_IT_number 166
_space_group_name_Hall '-R 3 2"'
_cell_length_a 3.4260
_cell_length_b 3.4260
_cell_length_c 38.8717
_cell_angle_alpha 90.00
_cell_angle_beta 90.00
_cell_angle_gamma 120.00
loop_
_atom_site_label
_atom_site_type_symbol
_atom_site_fract_x
_atom_site_fract_y
_atom_site_fract_z
_atom_site_occupancy
K1 K 0.0000 0.0000 0.2468 1
Zr1 Zr 0.0000 0.0000 0.0000 1
Hg1 Hg 0.0000 0.0000 0.5000 1



# PBE-GGA K2ZrHg, optimized geometry
# Size of the total moment in μB per atom: 0.30
# Calculated density in kg/m³: 4693
# Energy of formation in eV per atom: 0.608
# V in Å³/atom: 32.73
data_K2ZrHg
_space_group_name_H-M_alt 'P m m m'
_space_group_IT_number 47
_cell_length_a 3.2345
_cell_length_b 6.1105
_cell_length_c 6.6241
_cell_angle_alpha 90.00
_cell_angle_beta 90.00
_cell_angle_gamma 90.00
loop_
_space_group_symop_operation_xyz
'x,y,z'
'-x,-y,-z'
'-x,-y,z'
'x,y,-z'
'x,-y,-z'
'-x,y,z'
'-x,y,-z'
'x,-y,z'
loop_
_atom_site_label
_atom_site_type_symbol
_atom_site_fract_x
_atom_site_fract_y
_atom_site_fract_z
_atom_site_occupancy
K1 K 0.0000 0.0000 0.2428 1
Zr1 Zr 0.5000 0.5000 0.5000 1
Hg1 Hg 0.5000 0.5000 0.0000 1



# PBE-GGA K2ZrHg, optimized geometry
# Size of the total moment in μB per atom: 0.40
# Calculated density in kg/m³: 4954
# Energy of formation in eV per atom: 0.576
# V in Å³/atom: 31.00
data_K2ZrHg
_space_group_name_H-M_alt 'C 1 2/m 1'
_space_group_IT_number 12
_cell_length_a 6.5430
_cell_length_b 12.8834
_cell_length_c 3.3116
_cell_angle_alpha 90.00
_cell_angle_beta 117.31
_cell_angle_gamma 90.00
loop_
_space_group_symop_operation_xyz
'x,y,z'
'-x,-y,-z'
'-x,y,-z'
'x,-y,z'
'x+1/2,y+1/2,z'
'-x+1/2,-y+1/2,-z'
'-x+1/2,y+1/2,-z'
'x+1/2,-y+1/2,z'
loop_
_atom_site_label
_atom_site_type_symbol
_atom_site_fract_x
_atom_site_fract_y
_atom_site_fract_z
_atom_site_occupancy
K1 K 0.2500 0.2500 0.0000 1
Zr1 Zr 0.0000 0.0000 0.5000 1
Hg1 Hg 0.0000 0.5000 0.5000 1



# PBE-GGA K2ZrHg, optimized geometry
# Size of the total moment in μB per atom: 0.43
# Calculated density in kg/m³: 4899
# Energy of formation in eV per atom: 0.586
# V in Å³/atom: 31.35
data_K2ZrHg
_space_group_name_H-M_alt 'I 4/m m m'
_space_group_IT_number 139
_space_group_name_Hall '-I 4 2'
_cell_length_a 4.4824
_cell_length_b 4.4824
_cell_length_c 12.4840
_cell_angle_alpha 90.00
_cell_angle_beta 90.00
_cell_angle_gamma 90.00
loop_
_atom_site_label
_atom_site_type_symbol
_atom_site_fract_x
_atom_site_fract_y
_atom_site_fract_z
_atom_site_occupancy
K1 K 0.0000 0.5000 0.2500 1
Zr1 Zr 0.0000 0.0000 0.0000 1
Hg1 Hg 0.0000 0.0000 0.5000 1



# PBE-GGA K2ZrHg2, optimized geometry
# Size of the total moment in μB per atom: 0.58
# Calculated density in kg/m³: 4912
# Energy of formation in eV per atom: 0.554
# V in Å³/atom: 38.58
data_K2ZrHg2
_space_group_name_H-M_alt 'I 4/m m m'
_space_group_IT_number 139
_space_group_name_Hall '-I 4 2'
_cell_length_a 4.0357
_cell_length_b 4.0357
_cell_length_c 23.6881
_cell_angle_alpha 90.00
_cell_angle_beta 90.00
_cell_angle_gamma 90.00
loop_
_atom_site_label
_atom_site_type_symbol
_atom_site_fract_x
_atom_site_fract_y
_atom_site_fract_z
_atom_site_occupancy
K1 K 0.0000 0.0000 0.1180 1
Zr1 Zr 0.0000 0.0000 0.5000 1
Hg1 Hg 0.0000 0.5000 0.2500 1



# PBE-GGA K2ZrHg, optimized geometry
# Size of the total moment in μB per atom: 0.22
# Calculated density in kg/m³: 3810
# Energy of formation in eV per atom: 0.409
# V in Å³/atom: 40.31
data_K2ZrHg
_space_group_name_H-M_alt 'C 1 m 1'
_space_group_IT_number 8
_cell_length_a 9.7565
_cell_length_b 3.4127
_cell_length_c 9.7171
_cell_angle_alpha 90.00
_cell_angle_beta 94.58
_cell_angle_gamma 90.00
loop_
_space_group_symop_operation_xyz
'x,y,z'
'x,-y,z'
'x+1/2,y+1/2,z'
'x+1/2,-y+1/2,z'
loop_
_atom_site_label
_atom_site_type_symbol
_atom_site_fract_x
_atom_site_fract_y
_atom_site_fract_z
_atom_site_occupancy
K1 K 0.0000 0.0000 0.0000 1
K2 K 0.2223 0.0000 0.6176 1
Zr1 Zr 0.4583 0.0000 0.3450 1
Hg1 Hg 0.2283 0.5000 0.2504 1



# PBE-GGA K2ZrHg2, optimized geometry
# Size of the total moment in μB per atom: 0.00
# Calculated density in kg/m³: 6299
# Energy of formation in eV per atom: 0.454
# V in Å³/atom: 30.09
data_K2ZrHg2
_space_group_name_H-M_alt 'P 4/m b m'
_space_group_IT_number 127
_space_group_name_Hall '-P 4 2ab'
_cell_length_a 9.7652
_cell_length_b 9.7652
_cell_length_c 3.1550
_cell_angle_alpha 90.00
_cell_angle_beta 90.00
_cell_angle_gamma 90.00
loop_
_atom_site_label
_atom_site_type_symbol
_atom_site_fract_x
_atom_site_fract_y
_atom_site_fract_z
_atom_site_occupancy
K1 K 0.1243 0.3757 0.0000 1
Zr1 Zr 0.0000 0.0000 0.0000 1
Hg1 Hg 0.1782 0.6782 0.5000 1



# PBE-GGA K2ZrHg, optimized geometry
# Size of the total moment in μB per atom: 0.00
# Calculated density in kg/m³: 3710
# Energy of formation in eV per atom: 0.327
# V in Å³/atom: 41.40
data_K2ZrHg
_space_group_name_H-M_alt 'C 1 2/m 1'
_space_group_IT_number 12
_cell_length_a 20.9885
_cell_length_b 3.3561
_cell_length_c 4.8285
_cell_angle_alpha 90.00
_cell_angle_beta 103.15
_cell_angle_gamma 90.00
loop_
_space_group_symop_operation_xyz
'x,y,z'
'-x,-y,-z'
'-x,y,-z'
'x,-y,z'
'x+1/2,y+1/2,z'
'-x+1/2,-y+1/2,-z'
'-x+1/2,y+1/2,-z'
'x+1/2,-y+1/2,z'
loop_
_atom_site_label
_atom_site_type_symbol
_atom_site_fract_x
_atom_site_fract_y
_atom_site_fract_z
_atom_site_occupancy
K1 K 0.1543 0.0000 0.1512 1
Zr1 Zr 0.0000 0.0000 0.5000 1
Hg1 Hg 0.0000 0.5000 0.0000 1



> Among the records above, which one has the highest energy of formation?

number 2



Please write out number 6 again, unchanged.
# PBE-GGA K2ZrHg, optimized geometry
# Size of the total moment in μB per atom: 0.22
# Calculated density in kg/m³: 3810
# Energy of formation in eV per atom: 0.409
# V in Å³/atom: 40.31
data_K2ZrHg
_space_group_name_H-M_alt 'C 1 m 1'
_space_group_IT_number 8
_cell_length_a 9.7565
_cell_length_b 3.4127
_cell_length_c 9.7171
_cell_angle_alpha 90.00
_cell_angle_beta 94.58
_cell_angle_gamma 90.00
loop_
_space_group_symop_operation_xyz
'x,y,z'
'x,-y,z'
'x+1/2,y+1/2,z'
'x+1/2,-y+1/2,z'
loop_
_atom_site_label
_atom_site_type_symbol
_atom_site_fract_x
_atom_site_fract_y
_atom_site_fract_z
_atom_site_occupancy
K1 K 0.0000 0.0000 0.0000 1
K2 K 0.2223 0.0000 0.6176 1
Zr1 Zr 0.4583 0.0000 0.3450 1
Hg1 Hg 0.2283 0.5000 0.2504 1